VASP calculation (GGA+U) on crystalline HfVBiO6 at its relaxed geometry.

a = 4.9587 Å, b = 5.2760 Å, c = 5.2760 Å
α = 120.00°, β = 90.00°, γ = 90.00°
Sites, in units of the cell vectors:
1 O 0.2830 0.9781 0.6896
2 O 0.7170 0.3104 0.0219
3 O 0.7170 0.7114 0.6896
4 O 0.2830 0.7114 0.0219
5 O 0.7170 0.9781 0.2886
6 O 0.2830 0.3104 0.2886
7 Hf 0.5000 0.6667 0.3333
8 V 0.5000 0.0000 0.0000
9 Bi 0.0000 0.3333 0.6667

Total magnetization ... 0.00 μB per atom
Raw total energy ... -7.881 eV per atom
Volume ... 119.5 Å³/cell